# 1
DFT (meta-GGA SCAN) results for a PBEsol-optimized structure of ZnFeSi2O6.

a = 6.5509 Å, b = 6.5509 Å, c = 4.9722 Å
α = 99.40°, β = 99.40°, γ = 85.25°
Last column: nearest neighbours and their distance in Å.
Fractional positions:
Zn1 0.2303 0.7697 0.7500  4 O 1.96-2.11
Zn2 0.7697 0.2303 0.2500  4 O 1.96-2.11
Fe1 0.4212 0.5788 0.2500  6 O 2.11-2.13
Fe2 0.5788 0.4212 0.7500  6 O 2.11-2.13
Si1 0.1051 0.2894 0.7725  4 O 1.61-1.67
Si2 0.2894 0.1051 0.2725  4 O 1.61-1.67
Si3 0.7106 0.8949 0.7275  4 O 1.61-1.67
Si4 0.8949 0.7106 0.2275  4 O 1.61-1.67
O1 0.0904 0.2000 0.0637  2 Si 1.67
O2 0.1232 0.6444 0.3741  1 Si 1.61
O3 0.2000 0.0904 0.5637  2 Si 1.67
O4 0.2756 0.4664 0.8489  1 Si 1.63
O5 0.3556 0.8768 0.1259  1 Si 1.61
O6 0.4664 0.2756 0.3489  1 Si 1.63
O7 0.5336 0.7244 0.6511  1 Si 1.63
O8 0.6444 0.1232 0.8741  1 Si 1.61
O9 0.7244 0.5336 0.1511  1 Si 1.63
O10 0.8000 0.9096 0.4363  2 Si 1.67
O11 0.8768 0.3556 0.6259  1 Si 1.61
O12 0.9096 0.8000 0.9363  2 Si 1.67

=====

# 2
DFT (meta-GGA SCAN) results for a PBEsol-optimized structure of FeSnO3.

a = 5.3636 Å, b = 7.7981 Å, c = 5.3726 Å
α = 90.00°, β = 90.00°, γ = 90.00°
Last column: nearest neighbours and their distance in Å.
Fractional positions:
Fe1 0.0298 0.2500 0.0112  4 O 1.99-2.12
Fe2 0.4702 0.7500 0.5112  4 O 1.99-2.12
Fe3 0.5298 0.2500 0.4888  4 O 1.99-2.12
Fe4 0.9702 0.7500 0.9888  4 O 1.99-2.12
Sn1 0.0000 0.0000 0.5000  6 O 2.06-2.14
Sn2 0.0000 0.5000 0.5000  6 O 2.06-2.14
Sn3 0.5000 0.0000 0.0000  6 O 2.06-2.14
Sn4 0.5000 0.5000 0.0000  6 O 2.06-2.14
O1 0.0942 0.7500 0.6322  2 Fe 2.03-2.12, 2 Sn 2.14
O2 0.1679 0.5714 0.1645  1 Fe 1.99, 2 Sn 2.06-2.09
O3 0.1679 0.9286 0.1645  1 Fe 1.99, 2 Sn 2.06-2.09
O4 0.3321 0.0714 0.6645  1 Fe 1.99, 2 Sn 2.06-2.09
O5 0.3321 0.4286 0.6645  1 Fe 1.99, 2 Sn 2.06-2.09
O6 0.4058 0.2500 0.1322  2 Fe 2.03-2.12, 2 Sn 2.14
O7 0.5942 0.7500 0.8678  2 Fe 2.03-2.12, 2 Sn 2.14
O8 0.6679 0.5714 0.3355  1 Fe 1.99, 2 Sn 2.06-2.09
O9 0.6679 0.9286 0.3355  1 Fe 1.99, 2 Sn 2.06-2.09
O10 0.8321 0.0714 0.8355  1 Fe 1.99, 2 Sn 2.06-2.09
O11 0.8321 0.4286 0.8355  1 Fe 1.99, 2 Sn 2.06-2.09
O12 0.9058 0.2500 0.3678  2 Fe 2.03-2.12, 2 Sn 2.14

=====

Number 1: Fermi-level density of states 0.49 states/eV per cell, V 207.3 Å³/cell, E -11.293 eV per atom. Number 2: Fermi-level density of states 6.14 states/eV per cell, V 224.7 Å³/cell, E -16.077 eV per atom.